A relaxed AlCd2Se crystal, computed with GGA-PBEsol.

## Properties
**Energy**: -2.37 eV/atom
**Energy relative to the elements, uncorrected**: 212 meV/atom
**Energy above the lowest structure with this stoichiometry**: 0.4105 eV per atom
**Symmetry**: Fm-3m, No. 225

Unit cell a=7.018 b=7.018 c=7.018 alpha=90.00 beta=90.00 gamma=90.00
Positions (direct):
Al (0.000, 0.000, 0.000)
Al (0.000, 0.500, 0.500)
Al (0.500, 0.000, 0.500)
Al (0.500, 0.500, 0.000)
Cd (0.250, 0.250, 0.250)
Cd (0.250, 0.250, 0.750)
Cd (0.250, 0.750, 0.250)
Cd (0.250, 0.750, 0.750)
Cd (0.750, 0.250, 0.250)
Cd (0.750, 0.250, 0.750)
Cd (0.750, 0.750, 0.250)
Cd (0.750, 0.750, 0.750)
Se (0.000, 0.000, 0.500)
Se (0.000, 0.500, 0.000)
Se (0.500, 0.000, 0.000)
Se (0.500, 0.500, 0.500)

***

A relaxed Nd2WC2 crystal, computed with GGA-PBEsol.

## Properties
**Formation enthalpy at 0 K**: -252 meV/atom
**Energy**: -8.94 eV/atom
**Symmetry**: P4_2/mnm, No. 136

Unit cell a=5.775 b=5.775 c=10.263 alpha=90.00 beta=90.00 gamma=90.00
Positions (direct):
Nd (0.196, 0.196, 0.157)
Nd (0.196, 0.196, 0.843)
Nd (0.304, 0.696, 0.343)
Nd (0.304, 0.696, 0.657)
Nd (0.696, 0.304, 0.343)
Nd (0.696, 0.304, 0.657)
Nd (0.804, 0.804, 0.157)
Nd (0.804, 0.804, 0.843)
W (0.177, 0.177, 0.500)
W (0.323, 0.677, 0.000)
W (0.677, 0.323, 0.000)
W (0.823, 0.823, 0.500)
C (0.000, 0.000, 0.357)
C (0.000, 0.000, 0.643)
C (0.000, 0.500, 0.000)
C (0.000, 0.500, 0.500)
C (0.500, 0.000, 0.000)
C (0.500, 0.000, 0.500)
C (0.500, 0.500, 0.143)
C (0.500, 0.500, 0.857)

***

A relaxed SrTlCd2 crystal, computed with GGA-PBEsol.

## Properties
**Formation enthalpy at 0 K**: -191 meV/atom
**Energy**: -1.91 eV/atom
**Symmetry**: Pm, No. 6

Unit cell a=3.617 b=4.921 c=6.250 alpha=90.00 beta=98.94 gamma=90.00
Positions (direct):
Sr (0.000, 0.000, 0.000)
Tl (0.617, 0.500, 0.267)
Cd (0.411, 0.500, 0.739)
Cd (0.464, 0.000, 0.512)

***

A relaxed Ba2LiPt crystal, computed with GGA-PBEsol.

## Properties
**Formation enthalpy at 0 K**: -271 meV/atom
**Energy**: -3.58 eV/atom
**Symmetry**: Imm2, No. 44

Unit cell a=3.804 b=5.295 c=12.923 alpha=90.00 beta=90.00 gamma=90.00
Positions (direct):
Ba (0.000, 0.000, 0.000)
Ba (0.000, 0.500, 0.199)
Ba (0.500, 0.000, 0.699)
Ba (0.500, 0.500, 0.500)
Li (0.000, 0.500, 0.851)
Li (0.500, 0.000, 0.351)
Pt (0.000, 0.000, 0.496)
Pt (0.500, 0.500, 0.996)

***

A relaxed BaGa2Sn2 crystal, computed with GGA-PBEsol.

## Properties
**Formation enthalpy at 0 K**: -393 meV/atom
**Energy**: -3.86 eV/atom
**Symmetry**: I4/mmm, No. 139

Unit cell a=5.062 b=5.062 c=10.486 alpha=90.00 beta=90.00 gamma=90.00
Positions (direct):
Ba (0.000, 0.000, 0.000)
Ba (0.500, 0.500, 0.500)
Ga (0.000, 0.500, 0.250)
Ga (0.000, 0.500, 0.750)
Ga (0.500, 0.000, 0.250)
Ga (0.500, 0.000, 0.750)
Sn (0.000, 0.000, 0.362)
Sn (0.000, 0.000, 0.638)
Sn (0.500, 0.500, 0.138)
Sn (0.500, 0.500, 0.862)

***

A relaxed LaFe2Pt crystal, computed with GGA-PBEsol.

## Properties
**Formation enthalpy at 0 K**: 100 meV/atom
**Energy**: -7.46 eV/atom
**Symmetry**: Fm-3m, No. 225

Unit cell a=6.371 b=6.371 c=6.371 alpha=90.00 beta=90.00 gamma=90.00
Positions (direct):
La (0.000, 0.000, 0.000)
La (0.000, 0.500, 0.500)
La (0.500, 0.000, 0.500)
La (0.500, 0.500, 0.000)
Fe (0.250, 0.250, 0.250)
Fe (0.250, 0.250, 0.750)
Fe (0.250, 0.750, 0.250)
Fe (0.250, 0.750, 0.750)
Fe (0.750, 0.250, 0.250)
Fe (0.750, 0.250, 0.750)
Fe (0.750, 0.750, 0.250)
Fe (0.750, 0.750, 0.750)
Pt (0.000, 0.000, 0.500)
Pt (0.000, 0.500, 0.000)
Pt (0.500, 0.000, 0.000)
Pt (0.500, 0.500, 0.500)

***

A relaxed IrRhS2Cl crystal, computed with GGA-PBEsol.

## Properties
**Energy**: -4.83 eV/atom
**Energy relative to the elements, uncorrected**: 917 meV/atom
**Symmetry**: P4/mmm, No. 123

Unit cell a=4.504 b=4.504 c=4.802 alpha=90.00 beta=90.00 gamma=90.00
Positions (direct):
Ir (0.000, 0.000, 0.000)
Rh (0.500, 0.500, 0.500)
S (0.000, 0.500, 0.000)
S (0.500, 0.000, 0.000)
Cl (0.000, 0.000, 0.500)

***

A relaxed TiGe3I crystal, computed with GGA-PBEsol.

## Properties
**Energy**: -3.52 eV/atom
**Energy relative to the elements, uncorrected**: 1462 meV/atom
**Symmetry**: Pm-3m, No. 221

Unit cell a=5.273 b=5.273 c=5.273 alpha=90.00 beta=90.00 gamma=90.00
Positions (direct):
Ti (0.000, 0.000, 0.000)
Ge (0.000, 0.500, 0.500)
Ge (0.500, 0.000, 0.500)
Ge (0.500, 0.500, 0.000)
I (0.500, 0.500, 0.500)

***

A relaxed Li6VSb3P6O24 crystal, computed with GGA-PBEsol.

## Properties
**Energy**: -7.03 eV/atom
**Energy relative to the elements, uncorrected**: -2135 meV/atom
**Symmetry**: P1, No. 1

Unit cell a=8.573 b=8.574 c=8.812 alpha=90.66 beta=118.93 gamma=119.11
Positions (direct):
Li (0.000, 0.000, 0.000)
Li (0.025, 0.683, 0.828)
Li (0.109, 0.820, 0.463)
Li (0.176, 0.488, 0.478)
Li (0.275, 0.390, 0.223)
Li (0.715, 0.145, 0.361)
V (0.461, 0.185, 0.522)
Sb (0.455, 0.703, 0.987)
Sb (0.812, 0.865, 0.564)
Sb (0.826, 0.407, 0.066)
P (0.301, 0.776, 0.266)
P (0.336, 0.031, 0.838)
P (0.589, 0.575, 0.761)
P (0.719, 0.492, 0.373)
P (0.945, 0.286, 0.792)
P (0.962, 0.065, 0.276)
O (0.038, 0.238, 0.966)
O (0.085, 0.711, 0.085)
O (0.098, 0.495, 0.818)
O (0.126, 0.999, 0.808)
O (0.175, 0.130, 0.291)
O (0.276, 0.602, 0.327)
O (0.317, 0.842, 0.853)
O (0.339, 0.066, 0.670)
O (0.348, 0.921, 0.418)
O (0.420, 0.616, 0.731)
O (0.489, 0.873, 0.239)
O (0.492, 0.425, 0.589)
O (0.531, 0.187, 0.021)
O (0.544, 0.519, 0.247)
O (0.630, 0.298, 0.402)
O (0.640, 0.508, 0.932)
O (0.733, 0.268, 0.748)
O (0.777, 0.947, 0.071)
O (0.795, 0.756, 0.801)
O (0.877, 0.526, 0.311)
O (0.885, 0.155, 0.624)
O (0.886, 0.657, 0.560)
O (0.935, 0.931, 0.393)
O (0.958, 0.230, 0.335)

***

A relaxed Zr4AlSe crystal, computed with GGA-PBEsol.

## Properties
**Energy**: -7.20 eV/atom
**Energy relative to the elements, uncorrected**: 183 meV/atom
**Symmetry**: F-43m, No. 216

Unit cell a=5.641 b=5.641 c=5.641 alpha=60.00 beta=60.00 gamma=60.00
Positions (direct):
Zr (0.123, 0.123, 0.123)
Zr (0.123, 0.123, 0.631)
Zr (0.123, 0.631, 0.123)
Zr (0.631, 0.123, 0.123)
Al (0.750, 0.750, 0.750)
Se (0.500, 0.500, 0.500)

***

A relaxed CaSn3Bi crystal, computed with GGA-PBEsol.

## Properties
**Formation enthalpy at 0 K**: 470 meV/atom
**Energy**: -3.37 eV/atom
**Symmetry**: Pm-3m, No. 221

Unit cell a=5.740 b=5.740 c=5.740 alpha=90.00 beta=90.00 gamma=90.00
Positions (direct):
Ca (0.000, 0.000, 0.000)
Sn (0.000, 0.500, 0.500)
Sn (0.500, 0.000, 0.500)
Sn (0.500, 0.500, 0.000)
Bi (0.500, 0.500, 0.500)

***

A relaxed SrZnCu2 crystal, computed with GGA-PBEsol.

## Properties
**Formation enthalpy at 0 K**: -105 meV/atom
**Energy**: -3.13 eV/atom
**Symmetry**: Cm, No. 8

Unit cell a=7.275 b=4.207 c=5.791 alpha=90.00 beta=115.10 gamma=90.00
Positions (direct):
Sr (0.000, 0.000, 0.000)
Sr (0.500, 0.500, 0.000)
Zn (0.191, 0.000, 0.574)
Zn (0.691, 0.500, 0.574)
Cu (0.308, 0.500, 0.425)
Cu (0.495, 0.000, 0.484)
Cu (0.808, 0.000, 0.425)
Cu (0.995, 0.500, 0.484)

***

Question: Number 9 is which compound?
Answer: Li6VSb3P6O24